Compound: Pm4Hg3Ge
Source: Alexandria via LeMat-Bulk
Functional: PBE
Structure: relaxed Values from VASP.

```
&SYSTEM
  ibrav = 0, nat = 8, ntyp = 3
/
ATOMIC_SPECIES
Pm 145.00 Pm.upf
Hg 200.59 Hg.upf
Ge 72.64 Ge.upf
ATOMIC_POSITIONS angstrom
Pm 0.000 0.000 1.808
Pm 0.000 0.000 5.747
Pm 0.000 0.000 9.660
Pm 0.000 0.000 13.600
Hg 1.871 1.871 3.835
Hg 1.871 1.871 7.704
Hg 1.871 1.871 11.572
Ge 1.871 1.871 0.000
CELL_PARAMETERS angstrom
3.742 0.000 0.000
0.000 3.742 0.000
0.000 0.000 15.407
```

Values from the calculation:
For the total energy, the calculation gives -3.579 eV per atom. The energy of formation comes out at -0.51 eV/atom.

=====

Compound: Pm6HgGe2
Source: Alexandria via LeMat-Bulk
Functional: PBE
Structure: relaxed Values from VASP.

```
&SYSTEM
  ibrav = 0, nat = 9, ntyp = 3
/
ATOMIC_SPECIES
Pm 145.00 Pm.upf
Hg 200.59 Hg.upf
Ge 72.64 Ge.upf
ATOMIC_POSITIONS angstrom
Pm -1.284 0.000 2.945
Pm -1.488 0.000 7.356
Pm 2.183 0.000 2.484
Pm 3.810 0.000 5.264
Pm 7.482 0.000 0.391
Pm 7.278 0.000 4.803
Hg 0.000 0.000 0.000
Ge 0.712 0.000 5.263
Ge 5.282 0.000 2.485
CELL_PARAMETERS angstrom
5.836 -2.894 0.000
5.836 2.894 0.000
-5.678 0.000 7.747
```

Values from the calculation:
For the total energy, the calculation gives -4.625 eV per atom. The energy of formation comes out at -0.40 eV/atom. The energy above the most stable polymorph in this dataset comes out at 119 meV per atom.

=====

Compound: Pm2Hg2Ge
Source: Alexandria via LeMat-Bulk
Functional: PBE
Structure: relaxed Values from VASP.

```
&SYSTEM
  ibrav = 0, nat = 5, ntyp = 3
/
ATOMIC_SPECIES
Pm 145.00 Pm.upf
Hg 200.59 Hg.upf
Ge 72.64 Ge.upf
ATOMIC_POSITIONS angstrom
Pm 0.000 0.000 1.527
Pm 0.000 0.000 15.444
Hg 2.022 0.000 4.243
Hg 0.000 2.022 4.243
Ge 0.000 0.000 8.486
CELL_PARAMETERS angstrom
-2.022 2.022 8.486
2.022 -2.022 8.486
2.022 2.022 -8.486
```

Values from the calculation:
For the total energy, the calculation gives -3.189 eV per atom. The energy of formation comes out at -0.24 eV/atom.

=====

Compound: Pm12Hg6Ge
Source: Alexandria via LeMat-Bulk
Functional: PBE
Structure: relaxed Values from VASP.

```
&SYSTEM
  ibrav = 0, nat = 19, ntyp = 3
/
ATOMIC_SPECIES
Pm 145.00 Pm.upf
Hg 200.59 Hg.upf
Ge 72.64 Ge.upf
ATOMIC_POSITIONS angstrom
Pm -4.014 -4.008 7.609
Pm -5.478 1.472 5.991
Pm -2.177 -0.341 4.988
Pm 1.464 -5.480 5.991
Pm 1.384 -1.715 4.988
Pm -0.793 -2.056 8.612
Pm 0.793 2.056 4.988
Pm -1.384 1.715 8.612
Pm -1.464 5.480 7.609
Pm 2.177 0.341 8.612
Pm 5.478 -1.472 7.609
Pm 4.014 4.008 5.991
Hg -1.186 -3.525 5.827
Hg -3.646 -0.735 7.774
Hg -2.460 2.790 5.827
Hg 2.460 -2.790 7.774
Hg 3.646 0.735 5.827
Hg 1.186 3.525 7.774
Ge 0.000 0.000 6.800
CELL_PARAMETERS angstrom
6.120 3.534 4.533
-6.120 3.534 4.533
0.000 -7.067 4.533
```

Values from the calculation:
For the total energy, the calculation gives -3.611 eV per atom. The energy of formation comes out at -0.27 eV/atom.